NiPtO2 after structural relaxation. Source: Alexandria via LeMat-Bulk, functional PBE with a Hubbard U.

Geometry as extended XYZ:
```
4
Lattice="1.882 0.000 5.635 -0.941 1.630 5.635 -0.941 -1.630 5.635" Properties=species:S:1:pos:R:3 pbc="T T T"
Ni 0.000 0.000 0.000
O 0.000 0.000 15.024
O 0.000 0.000 1.881
Pt 0.000 0.000 8.452
```

Results
V ... 51.9 Å³ per cell
Uncorrected energy ... -4.73 eV/atom
Theoretical density ... 9.15 g/cm³
Space group ... No. 166